# HfCoGe2, relaxed, DFT PBE
# **Crystal system**: cubic
# **Total DFT energy (no corrections)**: -105.25 eV for the cell shown
# **Size of the total moment**: 1.0 μB/f.u.
data_HfCoGe2
_cell_length_a 6.359
_cell_length_b 6.359
_cell_length_c 6.359
_cell_angle_alpha 90.00
_cell_angle_beta 90.00
_cell_angle_gamma 90.00
_symmetry_space_group_name_H-M 'F -4 3 m'
_symmetry_Int_Tables_number 216
_symmetry_space_group_name_Hall 'F -4 2 3'
loop_
_atom_site_label
_atom_site_fract_x
_atom_site_fract_y
_atom_site_fract_z
Hf1 0.000 0.000 0.000
Co1 0.250 0.250 0.250
Ge1 0.000 0.000 0.500
Ge2 0.250 0.250 0.750